# PBE CaNdEr, optimized geometry
# **DOS at the Fermi energy**: 3.9 states/eV per cell
# **Magnetization**: 0.000 μB/atom
# **Energy relative to the elements**: 0.059 eV per atom
# **Crystal system**: trigonal
# **ΔE to the lowest computed polymorph**: 5.4 meV/atom
# **E_tot**: -11.2 eV per formula unit
data_CaNdEr
_space_group_name_H-M_alt 'P 3 m 1'
_space_group_IT_number 156
_space_group_name_Hall 'P 3 -2"'
_cell_length_a 3.6538
_cell_length_b 3.6538
_cell_length_c 9.1328
_cell_angle_alpha 90.00
_cell_angle_beta 90.00
_cell_angle_gamma 120.00
loop_
_atom_site_label
_atom_site_type_symbol
_atom_site_fract_x
_atom_site_fract_y
_atom_site_fract_z
Ca1 Ca 0.0000 0.0000 0.0000
Nd1 Nd 0.3333 0.6667 0.6443
Er1 Er 0.6667 0.3333 0.3392

---

# PBE CaNd12Er7, optimized geometry
# **DOS at the Fermi energy**: 57.3 states/eV per cell
# **Magnetization**: 0.000 μB/atom
# **Energy relative to the elements**: 0.644 eV per atom
# **Crystal system**: cubic
# **E_tot**: -78.3 eV per formula unit
data_CaNd12Er7
_space_group_name_H-M_alt 'I m -3'
_space_group_IT_number 204
_space_group_name_Hall '-I 2 2 3'
_cell_length_a 11.687
_cell_length_b 11.687
_cell_length_c 11.687
_cell_angle_alpha 90.00
_cell_angle_beta 90.00
_cell_angle_gamma 90.00
loop_
_atom_site_label
_atom_site_type_symbol
_atom_site_fract_x
_atom_site_fract_y
_atom_site_fract_z
Ca1 Ca 0.000 0.000 0.000
Nd1 Nd 0.000 0.267 0.268
Er1 Er 0.000 0.000 0.500
Er2 Er 0.250 0.250 0.250

---

# PBE CaNd6Er8, optimized geometry
# **DOS at the Fermi energy**: 21.6 states/eV per cell
# **Magnetization**: 0.000 μB/atom
# **Energy relative to the elements**: 0.222 eV per atom
# **Crystal system**: trigonal
# **E_tot**: -63.8 eV per formula unit
data_CaNd6Er8
_space_group_name_H-M_alt 'P -3'
_space_group_IT_number 147
_space_group_name_Hall '-P 3'
_cell_length_a 9.9207
_cell_length_b 9.9207
_cell_length_c 6.1556
_cell_angle_alpha 90.00
_cell_angle_beta 90.00
_cell_angle_gamma 120.00
loop_
_atom_site_label
_atom_site_type_symbol
_atom_site_fract_x
_atom_site_fract_y
_atom_site_fract_z
Ca1 Ca 0.0000 0.0000 0.0000
Nd1 Nd 0.1353 0.4438 0.9456
Er1 Er 0.0212 0.6811 0.5623
Er2 Er 0.3333 0.6667 0.4258

---

# PBE CaNdEr, optimized geometry
# **DOS at the Fermi energy**: 7.8 states/eV per cell
# **Magnetization**: 0.000 μB/atom
# **Energy relative to the elements**: 0.128 eV per atom
# **Crystal system**: hexagonal
# **ΔE to the lowest computed polymorph**: 74.5 meV/atom
# **E_tot**: -10.9 eV per formula unit
data_CaNdEr
_space_group_name_H-M_alt 'P 63 m c'
_space_group_IT_number 186
_space_group_name_Hall 'P 6c -2c'
_cell_length_a 3.6046
_cell_length_b 3.6046
_cell_length_c 18.9558
_cell_angle_alpha 90.00
_cell_angle_beta 90.00
_cell_angle_gamma 120.00
loop_
_atom_site_label
_atom_site_type_symbol
_atom_site_fract_x
_atom_site_fract_y
_atom_site_fract_z
Ca1 Ca 0.3333 0.6667 0.0000
Nd1 Nd 0.0000 0.0000 0.1713
Er1 Er 0.3333 0.6667 0.8189

---

# PBE CaNd2Er, optimized geometry
# **DOS at the Fermi energy**: 15.5 states/eV per cell
# **Magnetization**: 0.000 μB/atom
# **Energy relative to the elements**: 0.035 eV per atom
# **Crystal system**: trigonal
# **ΔE to the lowest computed polymorph**: 0.0 meV/atom
# **E_tot**: -16.0 eV per formula unit
data_CaNd2Er
_space_group_name_H-M_alt 'R -3 m'
_space_group_IT_number 166
_space_group_name_Hall '-R 3 2"'
_cell_length_a 3.6518
_cell_length_b 3.6518
_cell_length_c 36.5341
_cell_angle_alpha 90.00
_cell_angle_beta 90.00
_cell_angle_gamma 120.00
loop_
_atom_site_label
_atom_site_type_symbol
_atom_site_fract_x
_atom_site_fract_y
_atom_site_fract_z
Ca1 Ca 0.0000 0.0000 0.0000
Nd1 Nd 0.0000 0.0000 0.2448
Er1 Er 0.0000 0.0000 0.5000

---

# PBE CaNd8Er6, optimized geometry
# **DOS at the Fermi energy**: 62.1 states/eV per cell
# **Magnetization**: 0.000 μB/atom
# **Energy relative to the elements**: 0.176 eV per atom
# **Crystal system**: trigonal
# **E_tot**: -64.9 eV per formula unit
data_CaNd8Er6
_space_group_name_H-M_alt 'R -3'
_space_group_IT_number 148
_space_group_name_Hall '-R 3'
_cell_length_a 9.7648
_cell_length_b 9.7648
_cell_length_c 18.1578
_cell_angle_alpha 90.00
_cell_angle_beta 90.00
_cell_angle_gamma 120.00
loop_
_atom_site_label
_atom_site_type_symbol
_atom_site_fract_x
_atom_site_fract_y
_atom_site_fract_z
Ca1 Ca 0.0000 0.0000 0.0000
Nd1 Nd 0.0000 0.0000 0.2403
Nd2 Nd 0.0459 0.7632 0.9021
Er1 Er 0.0265 0.7934 0.4100